(1)
Material: IrRu2
Method: DFT, GGA-PBE
State: relaxed

```
data_IrRu2
_symmetry_space_group_name_H-M 'I 4/m c m'
_symmetry_Int_Tables_number 140
_symmetry_space_group_name_Hall '-I 4 2c'
_cell_length_a 5.974
_cell_length_b 5.974
_cell_length_c 5.134
_cell_angle_alpha 90.00
_cell_angle_beta 90.00
_cell_angle_gamma 90.00
loop_
_atom_site_label
_atom_site_type_symbol
_atom_site_fract_x
_atom_site_fract_y
_atom_site_fract_z
_atom_site_occupancy
Ir1 Ir 0.000 0.000 0.250 1
Ru1 Ru 0.138 0.362 0.000 1
```

Calculated values
Excess energy over the best structure of this formula in the dataset: 0.450 eV/atom
Density of states at the Fermi level: 22.9 states/eV/cell
DFT formation energy: 0.401 eV/atom
Final energy: -104.8 eV per cell

(2)
Material: CdIn2SbSe2
Method: DFT, GGA-PBE
State: relaxed

```
data_CdIn2SbSe2
_symmetry_space_group_name_H-M 'C m c 21'
_symmetry_Int_Tables_number 36
_symmetry_space_group_name_Hall 'C 2c -2'
_cell_length_a 13.355
_cell_length_b 7.832
_cell_length_c 7.712
_cell_angle_alpha 90.00
_cell_angle_beta 90.00
_cell_angle_gamma 90.00
loop_
_atom_site_label
_atom_site_type_symbol
_atom_site_fract_x
_atom_site_fract_y
_atom_site_fract_z
_atom_site_occupancy
Cd1 Cd 0.000 0.188 0.000 1
In1 In 0.164 0.325 0.515 1
Sb1 Sb 0.000 0.148 0.364 1
Se1 Se 0.172 0.347 0.879 1
```

Calculated values
ΔE_f (raw): -0.28 eV/atom
Density of states at the Fermi level: 14.4 states/eV/cell
Final energy: -76.7 eV per cell

(3)
Material: Cs2Sm3Br10
Method: DFT, GGA-PBE
State: relaxed

```
data_Cs2Sm3Br10
_symmetry_space_group_name_H-M 'C 1 2/m 1'
_symmetry_Int_Tables_number 12
_symmetry_space_group_name_Hall '-C 2y'
_cell_length_a 27.333
_cell_length_b 8.076
_cell_length_c 11.436
_cell_angle_alpha 90.00
_cell_angle_beta 111.73
_cell_angle_gamma 90.00
loop_
_atom_site_label
_atom_site_type_symbol
_atom_site_fract_x
_atom_site_fract_y
_atom_site_fract_z
_atom_site_occupancy
Cs1 Cs 0.120 0.000 0.232 1
Cs2 Cs 0.228 0.000 0.837 1
Sm1 Sm 0.000 0.234 0.500 1
Sm2 Sm 0.077 0.500 0.973 1
Sm3 Sm 0.180 0.500 0.529 1
Br1 Br 0.000 0.263 0.000 1
Br2 Br 0.015 0.000 0.701 1
Br3 Br 0.020 0.500 0.700 1
Br4 Br 0.112 0.234 0.544 1
Br5 Br 0.126 0.500 0.252 1
Br6 Br 0.146 0.247 0.977 1
Br7 Br 0.235 0.500 0.786 1
Br8 Br 0.250 0.250 0.500 1
```

Calculated values
ΔE_f (raw): -1.80 eV/atom
Density of states at the Fermi level: 11.7 states/eV/cell
Final energy: -238.6 eV per cell

(4)
Material: AcNd2Eu
Method: DFT, GGA-PBE
State: relaxed

```
data_AcNd2Eu
_symmetry_space_group_name_H-M 'P 4/m m m'
_symmetry_Int_Tables_number 123
_symmetry_space_group_name_Hall '-P 4 2'
_cell_length_a 5.342
_cell_length_b 5.342
_cell_length_c 5.411
_cell_angle_alpha 90.00
_cell_angle_beta 90.00
_cell_angle_gamma 90.00
loop_
_atom_site_label
_atom_site_type_symbol
_atom_site_fract_x
_atom_site_fract_y
_atom_site_fract_z
_atom_site_occupancy
Ac1 Ac 0.000 0.000 0.000 1
Nd1 Nd 0.000 0.500 0.500 1
Eu1 Eu 0.500 0.500 0.000 1
```

Calculated values
Excess energy over the best structure of this formula in the dataset: 0.009 eV/atom
Density of states at the Fermi level: 6.8 states/eV/cell
DFT formation energy: 0.060 eV/atom
Final energy: -23.7 eV per cell

(5)
Material: Ce2PrScP4
Method: DFT, GGA-PBE
State: relaxed

```
data_Ce2PrScP4
_symmetry_space_group_name_H-M 'P 1 2/m 1'
_symmetry_Int_Tables_number 10
_symmetry_space_group_name_Hall '-P 2y'
_cell_length_a 6.982
_cell_length_b 4.051
_cell_length_c 7.009
_cell_angle_alpha 90.00
_cell_angle_beta 109.52
_cell_angle_gamma 90.00
loop_
_atom_site_label
_atom_site_type_symbol
_atom_site_fract_x
_atom_site_fract_y
_atom_site_fract_z
_atom_site_occupancy
Ce1 Ce 0.000 0.000 0.000 1
Ce2 Ce 0.000 0.500 0.500 1
Pr1 Pr 0.500 0.000 0.500 1
Sc1 Sc 0.500 0.500 0.000 1
P1 P 0.249 0.500 0.236 1
P2 P 0.259 0.000 0.765 1
```

Calculated values
Density of states at the Fermi level: 8.6 states/eV/cell
DFT formation energy: -1.461 eV/atom
Final energy: -56.3 eV per cell

(6)
Material: Sm4In
Method: DFT, GGA-PBE
State: relaxed

```
data_Sm4In
_symmetry_space_group_name_H-M 'P m -3 m'
_symmetry_Int_Tables_number 221
_symmetry_space_group_name_Hall '-P 4 2 3'
_cell_length_a 5.840
_cell_length_b 5.840
_cell_length_c 5.840
_cell_angle_alpha 90.00
_cell_angle_beta 90.00
_cell_angle_gamma 90.00
loop_
_atom_site_label
_atom_site_type_symbol
_atom_site_fract_x
_atom_site_fract_y
_atom_site_fract_z
_atom_site_occupancy
Sm1 Sm 0.000 0.000 0.000 1
Sm2 Sm 0.000 0.500 0.500 1
In1 In 0.500 0.500 0.500 1
```

Calculated values
Excess energy over the best structure of this formula in the dataset: 0.514 eV/atom
Density of states at the Fermi level: 9.5 states/eV/cell
DFT formation energy: 0.382 eV/atom
Final energy: -19.7 eV per cell

(7)
Material: LaTl3
Method: DFT, GGA-PBE
State: relaxed

```
data_LaTl3
_symmetry_space_group_name_H-M 'R -3 m'
_symmetry_Int_Tables_number 166
_symmetry_space_group_name_Hall '-R 3 2"'
_cell_length_a 3.6250
_cell_length_b 3.6250
_cell_length_c 32.8616
_cell_angle_alpha 90.00
_cell_angle_beta 90.00
_cell_angle_gamma 120.00
loop_
_atom_site_label
_atom_site_type_symbol
_atom_site_fract_x
_atom_site_fract_y
_atom_site_fract_z
_atom_site_occupancy
La1 La 0.0000 0.0000 0.0000 1
Tl1 Tl 0.0000 0.0000 0.2483 1
Tl2 Tl 0.0000 0.0000 0.5000 1
```

Calculated values
Density of states at the Fermi level: 10.7 states/eV/cell
DFT formation energy: -0.078 eV/atom
Final energy: -37.0 eV per cell

(8)
Material: LaPrY
Method: DFT, GGA-PBE
State: relaxed

```
data_LaPrY
_symmetry_space_group_name_H-M 'P 3 m 1'
_symmetry_Int_Tables_number 156
_symmetry_space_group_name_Hall 'P 3 -2"'
_cell_length_a 3.6748
_cell_length_b 3.6748
_cell_length_c 9.0274
_cell_angle_alpha 90.00
_cell_angle_beta 90.00
_cell_angle_gamma 120.00
loop_
_atom_site_label
_atom_site_type_symbol
_atom_site_fract_x
_atom_site_fract_y
_atom_site_fract_z
_atom_site_occupancy
La1 La 0.0000 0.0000 0.0000 1
Pr1 Pr 0.6667 0.3333 0.3442 1
Y1 Y 0.3333 0.6667 0.6700 1
```

Calculated values
Excess energy over the best structure of this formula in the dataset: 0.000 eV/atom
Density of states at the Fermi level: 4.8 states/eV/cell
DFT formation energy: 0.017 eV/atom
Final energy: -16.1 eV per cell